Entry from Alexandria via LeMat-Bulk: a relaxed Tb2PuZr crystal (PBE).

Lattice parameters (Å, degrees): 3.431 3.431 11.288 81.25 81.25 59.98
Last column: magnetic moment on the atom in μB.
Element x y z (fractional)
Pu: 0.666 0.666 0.000  5.59
Tb: 0.247 0.247 0.261  0.07
Tb: 0.087 0.087 0.740  0.02
Zr: 0.500 0.500 0.499  0.04

Results
For the formation energy, the calculation gives 152 meV/atom. The space-group type is Cm, No. 8. Its energy above the lowest structure with this stoichiometry is 0 meV/atom. Its total magnetization is 6.2 μB per formula unit.


Entry from Alexandria via LeMat-Bulk: a relaxed TbPu2Zr crystal (PBE).

Lattice parameters (Å, degrees): 3.294 3.294 9.745 90.00 90.00 90.00
Last column: magnetic moment on the atom in μB.
Element x y z (fractional)
Zr: 0.500 0.500 0.000  -0.04
Pu: 0.000 0.000 0.767  5.38
Pu: 0.000 0.000 0.233  5.38
Tb: 0.500 0.500 0.500  0.21

Results
For the formation energy, the calculation gives 167 meV/atom. The space-group type is P4/mmm, No. 123. Its energy above the lowest structure with this stoichiometry is 0 meV/atom. Its total magnetization is 11.7 μB per formula unit.


Entry from Alexandria via LeMat-Bulk: a relaxed Tb2PuZr crystal (PBE).

Lattice parameters (Å, degrees): 3.308 3.308 12.046 82.11 82.11 60.00
Last column: magnetic moment on the atom in μB.
Element x y z (fractional)
Pu: 0.500 0.500 0.500  5.36
Zr: 0.000 0.000 0.000  -0.07
Tb: 0.088 0.088 0.737  -0.10
Tb: 0.912 0.912 0.263  -0.10

Results
For the formation energy, the calculation gives 355 meV/atom. The space-group type is R-3m, No. 166. Its energy above the lowest structure with this stoichiometry is 202 meV/atom. Its total magnetization is 5.3 μB per formula unit.


no.,uncorrected energy (eV per atom)
1,-7.88
2,-10.29
3,-7.68